Record 1
# ThScCuGe, relaxed, DFT PBE-GGA
data_ThScCuGe
_chemical_formula_sum 'Th1 Sc1 Cu1 Ge1'
_symmetry_space_group_name_H-M 'P 1'
_symmetry_Int_Tables_number 1
_cell_length_a 4.941
_cell_length_b 4.941
_cell_length_c 4.941
_cell_angle_alpha 60.00
_cell_angle_beta 60.00
_cell_angle_gamma 60.00
loop_
_symmetry_equiv_pos_as_xyz
'x,y,z'
loop_
_atom_site_label
_atom_site_type_symbol
_atom_site_fract_x
_atom_site_fract_y
_atom_site_fract_z
Sc1 Sc 0.500 0.500 0.500
Ge1 Ge 0.250 0.250 0.250
Cu1 Cu 0.750 0.750 0.750
Th1 Th 0.000 0.000 0.000
# magnetization: 0.0 μB/cell

***

Record 2
# MgBiOs2, relaxed, DFT PBE-GGA
data_MgBiOs2
_chemical_formula_sum 'Mg1 Bi1 Os2'
_symmetry_space_group_name_H-M 'P 1'
_symmetry_Int_Tables_number 1
_cell_length_a 4.587
_cell_length_b 4.587
_cell_length_c 4.587
_cell_angle_alpha 60.00
_cell_angle_beta 60.00
_cell_angle_gamma 60.00
loop_
_symmetry_equiv_pos_as_xyz
'x,y,z'
loop_
_atom_site_label
_atom_site_type_symbol
_atom_site_fract_x
_atom_site_fract_y
_atom_site_fract_z
Mg1 Mg 0.000 0.000 0.000
Os1 Os 0.250 0.250 0.250
Os2 Os 0.750 0.750 0.750
Bi1 Bi 0.500 0.500 0.500
# magnetization: 0.0 μB/cell
# energy above the most stable polymorph in this dataset: 0 meV/atom

***

Record 3
# Pa3Al5O12, relaxed, DFT PBE-GGA
data_Pa3Al5O12
_chemical_formula_sum 'Pa12 Al20 O48'
_symmetry_space_group_name_H-M 'P 1'
_symmetry_Int_Tables_number 1
_cell_length_a 10.681
_cell_length_b 10.681
_cell_length_c 10.681
_cell_angle_alpha 109.47
_cell_angle_beta 109.47
_cell_angle_gamma 109.47
loop_
_symmetry_equiv_pos_as_xyz
'x,y,z'
loop_
_atom_site_label
_atom_site_type_symbol
_atom_site_fract_x
_atom_site_fract_y
_atom_site_fract_z
Pa1 Pa 0.750 0.375 0.125
Pa2 Pa 0.875 0.750 0.125
Pa3 Pa 0.375 0.750 0.625
Pa4 Pa 0.250 0.125 0.375
Pa5 Pa 0.875 0.125 0.250
Pa6 Pa 0.375 0.625 0.250
Pa7 Pa 0.625 0.375 0.750
Pa8 Pa 0.125 0.875 0.750
Pa9 Pa 0.750 0.875 0.625
Pa10 Pa 0.625 0.250 0.375
Pa11 Pa 0.125 0.250 0.875
Pa12 Pa 0.250 0.625 0.875
Al1 Al 0.125 0.375 0.250
Al2 Al 0.000 0.500 0.000
Al3 Al 0.000 0.000 0.000
Al4 Al 0.375 0.250 0.125
Al5 Al 0.500 0.000 0.500
Al6 Al 0.500 0.500 0.000
Al7 Al 0.125 0.750 0.375
Al8 Al 0.750 0.125 0.875
Al9 Al 0.750 0.625 0.375
Al10 Al 0.375 0.125 0.750
Al11 Al 0.625 0.875 0.250
Al12 Al 0.500 0.500 0.500
Al13 Al 0.500 0.000 0.000
Al14 Al 0.000 0.000 0.500
Al15 Al 0.250 0.375 0.625
Al16 Al 0.250 0.875 0.125
Al17 Al 0.000 0.500 0.500
Al18 Al 0.875 0.250 0.625
Al19 Al 0.625 0.750 0.875
Al20 Al 0.875 0.625 0.750
O1 O 0.693 0.111 0.011
O2 O 0.318 0.511 0.400
O3 O 0.989 0.389 0.307
O4 O 0.511 0.193 0.111
O5 O 0.582 0.693 0.682
O6 O 0.989 0.600 0.182
O7 O 0.318 0.807 0.418
O8 O 0.100 0.918 0.111
O9 O 0.600 0.989 0.682
O10 O 0.693 0.582 0.182
O11 O 0.807 0.489 0.389
O12 O 0.818 0.900 0.011
O13 O 0.111 0.693 0.511
O14 O 0.389 0.400 0.082
O15 O 0.082 0.900 0.389
O16 O 0.418 0.111 0.600
O17 O 0.082 0.182 0.193
O18 O 0.489 0.682 0.100
O19 O 0.818 0.918 0.307
O20 O 0.111 0.418 0.100
O21 O 0.389 0.989 0.807
O22 O 0.600 0.611 0.418
O23 O 0.900 0.818 0.511
O24 O 0.807 0.318 0.918
O25 O 0.400 0.389 0.582
O26 O 0.100 0.182 0.489
O27 O 0.193 0.682 0.082
O28 O 0.182 0.082 0.693
O29 O 0.611 0.011 0.193
O30 O 0.889 0.582 0.900
O31 O 0.511 0.318 0.900
O32 O 0.582 0.889 0.400
O33 O 0.918 0.818 0.807
O34 O 0.918 0.100 0.611
O35 O 0.889 0.307 0.489
O36 O 0.182 0.100 0.989
O37 O 0.611 0.600 0.918
O38 O 0.400 0.011 0.318
O39 O 0.307 0.418 0.818
O40 O 0.193 0.511 0.611
O41 O 0.900 0.082 0.889
O42 O 0.682 0.193 0.582
O43 O 0.489 0.807 0.889
O44 O 0.011 0.400 0.818
O45 O 0.418 0.307 0.318
O46 O 0.011 0.611 0.693
O47 O 0.682 0.489 0.600
O48 O 0.307 0.889 0.989
# magnetization: 14.9 μB/cell

***

Record 4
# Pm8Nd2Y3, relaxed, DFT PBE-GGA
data_Pm8Nd2Y3
_chemical_formula_sum 'Pm8 Nd2 Y3'
_symmetry_space_group_name_H-M 'P 1'
_symmetry_Int_Tables_number 1
_cell_length_a 5.714
_cell_length_b 7.720
_cell_length_c 11.085
_cell_angle_alpha 110.38
_cell_angle_beta 90.01
_cell_angle_gamma 90.00
loop_
_symmetry_equiv_pos_as_xyz
'x,y,z'
loop_
_atom_site_label
_atom_site_type_symbol
_atom_site_fract_x
_atom_site_fract_y
_atom_site_fract_z
Pm1 Pm 0.000 0.669 0.338
Pm2 Pm 0.000 0.331 0.662
Pm3 Pm 0.000 0.131 0.262
Pm4 Pm 0.000 0.869 0.738
Pm5 Pm 0.500 0.601 0.790
Pm6 Pm 0.500 0.189 0.790
Pm7 Pm 0.500 0.811 0.210
Pm8 Pm 0.500 0.399 0.210
Nd1 Nd 0.499 0.241 0.481
Nd2 Nd 0.501 0.759 0.519
Y1 Y 0.500 0.000 0.000
Y2 Y 0.000 0.285 0.000
Y3 Y 0.000 0.715 0.000
# magnetization: 0.0 μB/cell
# energy above the most stable polymorph in this dataset: 193 meV/atom

***

Record 5
# La2NpS6, relaxed, DFT PBE-GGA
data_La2NpS6
_chemical_formula_sum 'La2 Np1 S6'
_symmetry_space_group_name_H-M 'P 1'
_symmetry_Int_Tables_number 1
_cell_length_a 3.996
_cell_length_b 7.528
_cell_length_c 7.527
_cell_angle_alpha 120.00
_cell_angle_beta 90.00
_cell_angle_gamma 90.00
loop_
_symmetry_equiv_pos_as_xyz
'x,y,z'
loop_
_atom_site_label
_atom_site_type_symbol
_atom_site_fract_x
_atom_site_fract_y
_atom_site_fract_z
La1 La 0.000 0.333 0.667
La2 La 0.000 0.667 0.333
Np1 Np 0.500 0.000 0.000
S1 S 0.500 0.598 0.000
S2 S 0.500 0.402 0.402
S3 S 0.500 0.000 0.598
S4 S 0.000 0.240 0.000
S5 S 0.000 0.760 0.760
S6 S 0.000 0.000 0.240
# magnetization: 1.6 μB/cell

***

Record 6
# La2Pm8Tm, relaxed, DFT PBE-GGA
data_La2Pm8Tm
_chemical_formula_sum 'La2 Pm8 Tm1'
_symmetry_space_group_name_H-M 'P 1'
_symmetry_Int_Tables_number 1
_cell_length_a 5.764
_cell_length_b 10.292
_cell_length_c 10.292
_cell_angle_alpha 40.51
_cell_angle_beta 93.35
_cell_angle_gamma 93.35
loop_
_symmetry_equiv_pos_as_xyz
'x,y,z'
loop_
_atom_site_label
_atom_site_type_symbol
_atom_site_fract_x
_atom_site_fract_y
_atom_site_fract_z
La1 La 0.738 0.283 0.283
La2 La 0.262 0.717 0.717
Pm1 Pm 0.267 0.138 0.611
Pm2 Pm 0.267 0.611 0.138
Pm3 Pm 0.733 0.862 0.389
Pm4 Pm 0.234 0.545 0.545
Pm5 Pm 0.733 0.389 0.862
Pm6 Pm 0.227 0.183 0.183
Pm7 Pm 0.773 0.817 0.817
Pm8 Pm 0.766 0.455 0.455
Tm1 Tm 0.000 0.000 0.000
# magnetization: 0.0 μB/cell
# energy above the most stable polymorph in this dataset: 151 meV/atom

***

Record 7
# Sr2LiAs, relaxed, DFT PBE-GGA
data_Sr2LiAs
_chemical_formula_sum 'Sr2 Li1 As1'
_symmetry_space_group_name_H-M 'P 1'
_symmetry_Int_Tables_number 1
_cell_length_a 7.035
_cell_length_b 7.035
_cell_length_c 7.035
_cell_angle_alpha 146.58
_cell_angle_beta 137.95
_cell_angle_gamma 54.74
loop_
_symmetry_equiv_pos_as_xyz
'x,y,z'
loop_
_atom_site_label
_atom_site_type_symbol
_atom_site_fract_x
_atom_site_fract_y
_atom_site_fract_z
As1 As 0.522 0.522 0.000
Li1 Li 0.662 0.162 0.500
Sr1 Sr 0.011 0.011 0.000
Sr2 Sr 0.305 0.805 0.500
# magnetization: 0.1 μB/cell

***

Record 8
# Hg3Ir, relaxed, DFT PBE-GGA
data_Hg3Ir
_chemical_formula_sum 'Hg3 Ir1'
_symmetry_space_group_name_H-M 'P 1'
_symmetry_Int_Tables_number 1
_cell_length_a 4.813
_cell_length_b 4.813
_cell_length_c 4.813
_cell_angle_alpha 60.00
_cell_angle_beta 60.00
_cell_angle_gamma 60.00
loop_
_symmetry_equiv_pos_as_xyz
'x,y,z'
loop_
_atom_site_label
_atom_site_type_symbol
_atom_site_fract_x
_atom_site_fract_y
_atom_site_fract_z
Hg1 Hg 0.000 0.000 0.000
Hg2 Hg 0.500 0.500 0.500
Hg3 Hg 0.250 0.250 0.250
Ir1 Ir 0.750 0.750 0.750
# magnetization: 0.0 μB/cell
# energy above the most stable polymorph in this dataset: 297 meV/atom

***

Record 9
# AgAs2, relaxed, DFT PBE-GGA
data_AgAs2
_chemical_formula_sum 'Ag2 As4'
_symmetry_space_group_name_H-M 'P 1'
_symmetry_Int_Tables_number 1
_cell_length_a 4.797
_cell_length_b 4.797
_cell_length_c 5.836
_cell_angle_alpha 90.00
_cell_angle_beta 90.00
_cell_angle_gamma 120.00
loop_
_symmetry_equiv_pos_as_xyz
'x,y,z'
loop_
_atom_site_label
_atom_site_type_symbol
_atom_site_fract_x
_atom_site_fract_y
_atom_site_fract_z
Ag1 Ag 0.333 0.667 0.250
Ag2 Ag 0.667 0.333 0.750
As1 As 0.000 0.000 0.000
As2 As 0.000 0.000 0.500
As3 As 0.333 0.667 0.750
As4 As 0.667 0.333 0.250
# magnetization: 0.0 μB/cell

***

Record 10
# CaTcPt2, relaxed, DFT PBE-GGA
data_CaTcPt2
_chemical_formula_sum 'Ca1 Tc1 Pt2'
_symmetry_space_group_name_H-M 'P 1'
_symmetry_Int_Tables_number 1
_cell_length_a 4.678
_cell_length_b 4.678
_cell_length_c 4.678
_cell_angle_alpha 60.00
_cell_angle_beta 60.00
_cell_angle_gamma 60.00
loop_
_symmetry_equiv_pos_as_xyz
'x,y,z'
loop_
_atom_site_label
_atom_site_type_symbol
_atom_site_fract_x
_atom_site_fract_y
_atom_site_fract_z
Ca1 Ca 0.000 0.000 0.000
Tc1 Tc 0.500 0.500 0.500
Pt1 Pt 0.250 0.250 0.250
Pt2 Pt 0.750 0.750 0.750
# magnetization: 3.0 μB/cell
# energy above the most stable polymorph in this dataset: 243 meV/atom

***

Record 11
# ThURu3, relaxed, DFT PBE-GGA
data_ThURu3
_chemical_formula_sum 'Th2 U2 Ru6'
_symmetry_space_group_name_H-M 'P 1'
_symmetry_Int_Tables_number 1
_cell_length_a 5.963
_cell_length_b 8.688
_cell_length_c 6.521
_cell_angle_alpha 131.77
_cell_angle_beta 117.21
_cell_angle_gamma 90.00
loop_
_symmetry_equiv_pos_as_xyz
'x,y,z'
loop_
_atom_site_label
_atom_site_type_symbol
_atom_site_fract_x
_atom_site_fract_y
_atom_site_fract_z
Th1 Th 0.250 0.267 0.500
Th2 Th 0.750 0.733 0.500
U1 U 0.000 0.500 0.000
U2 U 0.500 0.000 0.000
Ru1 Ru 0.800 0.300 0.100
Ru2 Ru 0.300 0.300 0.100
Ru3 Ru 0.700 0.700 0.900
Ru4 Ru 0.200 0.700 0.900
Ru5 Ru 0.250 0.933 0.500
Ru6 Ru 0.750 0.067 0.500
# magnetization: 0.0 μB/cell

***

Record 12
# YB2Sb2, relaxed, DFT PBE-GGA
data_YB2Sb2
_chemical_formula_sum 'Y2 B4 Sb4'
_symmetry_space_group_name_H-M 'P 1'
_symmetry_Int_Tables_number 1
_cell_length_a 7.969
_cell_length_b 7.969
_cell_length_c 3.470
_cell_angle_alpha 90.00
_cell_angle_beta 90.00
_cell_angle_gamma 90.00
loop_
_symmetry_equiv_pos_as_xyz
'x,y,z'
loop_
_atom_site_label
_atom_site_type_symbol
_atom_site_fract_x
_atom_site_fract_y
_atom_site_fract_z
Y1 Y 0.000 0.000 0.000
Y2 Y 0.500 0.500 0.000
Sb1 Sb 0.348 0.848 0.000
Sb2 Sb 0.848 0.652 0.000
Sb3 Sb 0.652 0.152 0.000
Sb4 Sb 0.152 0.348 0.000
B1 B 0.073 0.573 0.500
B2 B 0.573 0.927 0.500
B3 B 0.927 0.427 0.500
B4 B 0.427 0.073 0.500
# magnetization: 0.0 μB/cell
# energy above the most stable polymorph in this dataset: 129 meV/atom

***

no.,total DFT energy (no corrections) (eV/atom)
1,-5.9963
2,-6.3221
3,-8.2247
4,-4.9409
5,-6.8508
6,-4.5871
7,-3.0010
8,-1.8619
9,-3.6367
10,-6.1609
11,-9.5769
12,-4.7639